This record from Alexandria describes a relaxed structure of CsNaCoO2. The functional is GGA+U.

Cell lengths 5.684, 6.786, 6.828 Å; angles 90.00, 90.00, 114.76 degrees
Each line ends with the local moment (μB).
Fractional coordinates of all 10 atoms:
Co: 0.750 0.000 0.000  1.28
Cs: 0.750 0.500 0.804  0.00
O: 0.997 0.994 0.819  0.03
O: 0.497 0.994 0.181  0.03
Cs: 0.250 0.500 0.196  0.00
Na: 0.000 0.000 0.500  0.00
Co: 0.250 0.000 0.000  1.28
O: 0.003 0.006 0.181  0.03
O: 0.503 0.006 0.819  0.03
Na: 0.500 0.000 0.500  0.00

## Properties
**VASP energy**: -43.18 eV/cell
**Space-group type**: Cmme, No. 67